Crystalline ScAlRh2 at its relaxed geometry, computed with GGA-PBEsol.

Output
formation enthalpy at 0 K	-761	meV/atom
magnetization	0.000	μB/atom

abc: 2.922 3.951 5.233
angles: 90.00 90.00 90.00
Space group Pmm2 (No. 25)
Asymmetric unit:
Sc  0.000  0.000  0.000 x1
Al  0.500  0.500  0.319 x1
Rh  0.000  0.000  0.487 x1
Rh  0.500  0.500  0.806 x1

=====

Crystalline K2AlCd at its relaxed geometry, computed with GGA-PBEsol.

Output
formation enthalpy at 0 K	319	meV/atom
relative energy among the computed polymorphs	0.620	eV per formula unit
magnetization	0.000	μB/atom

abc: 3.468 3.468 10.747
angles: 90.00 90.00 90.00
Space group P4/mmm (No. 123)
Asymmetric unit:
K  0.000  0.000  0.247 x2
Al  0.500  0.500  0.000 x1
Cd  0.500  0.500  0.500 x1

=====

Crystalline LaZnCl at its relaxed geometry, computed with GGA-PBEsol.

Output
formation energy from raw total energies	-2.3	eV per formula unit
magnetization	0.000	μB/atom

abc: 3.6711 3.6711 6.8458
angles: 90.00 90.00 120.00
Space group P3m1 (No. 156)
Asymmetric unit:
La  0.0000  0.0000  0.0000 x1
Zn  0.3333  0.6667  0.6673 x1
Cl  0.6667  0.3333  0.2931 x1

=====

Crystalline B3Pb10Br3O13 at its relaxed geometry, computed with GGA-PBEsol.

Output
formation energy from raw total energies	-42.5	eV per formula unit
magnetization	0.000	μB/atom

abc: 16.567 8.904 16.597
angles: 90.00 114.15 90.00
Space group Cc (No. 9)
Asymmetric unit:
B  0.000  0.070  0.000 x4
B  0.396  0.078  0.880 x4
B  0.444  0.240  0.179 x4
Pb  0.036  0.301  0.886 x4
Pb  0.092  0.027  0.188 x4
Pb  0.102  0.265  0.519 x4
Pb  0.171  0.366  0.745 x4
Pb  0.215  0.331  0.113 x4
Pb  0.288  0.253  0.349 x4
Pb  0.306  0.050  0.688 x4
Pb  0.349  0.326  0.973 x4
Pb  0.414  0.449  0.782 x4
Pb  0.477  0.056  0.586 x4
Br  0.084  0.340  0.295 x4
Br  0.193  0.053  0.919 x4
Br  0.309  0.364  0.572 x4
O  0.009  0.353  0.677 x4
O  0.053  0.175  0.059 x4
O  0.113  0.475  0.606 x4
O  0.173  0.162  0.655 x4
O  0.226  0.138  0.216 x4
O  0.282  0.447  0.251 x4
O  0.347  0.183  0.818 x4
O  0.364  0.256  0.108 x4
O  0.404  0.067  0.355 x4
O  0.435  0.122  0.969 x4
O  0.456  0.393  0.411 x4
O  0.460  0.316  0.257 x4
O  0.492  0.428  0.030 x4

=====

Crystalline RbCrCu2H at its relaxed geometry, computed with GGA-PBEsol.

Output
relative energy among the computed polymorphs	8.177	eV per formula unit
magnetization	1.214	μB/atom

abc: 5.947 5.947 6.458
angles: 90.00 90.00 90.00
Space group P4/mmm (No. 123)
Asymmetric unit:
Rb  0.000  0.000  0.000 x1
Cr  0.000  0.000  0.500 x1
Cu  0.000  0.500  0.000 x2
H  0.500  0.500  0.500 x1

=====

Crystalline Li2MnGe2 at its relaxed geometry, computed with GGA-PBEsol.

Output
formation enthalpy at 0 K	81	meV/atom
magnetization	0.000	μB/atom

abc: 3.129 3.129 13.289
angles: 90.00 90.00 90.00
Space group I4/mmm (No. 139)
Asymmetric unit:
Li  0.000  0.500  0.250 x4
Mn  0.000  0.000  0.000 x2
Ge  0.000  0.000  0.402 x4

=====

> The highest magnetization belongs to which entry?

RbCrCu2H